Record 1
Below is a relaxed VAs2Rh2 crystal, with properties calculated at the PBE-GGA level.

Structure (extended XYZ):
```
10
Lattice="7.1358 0.0000 0.0000 0.0000 7.1358 0.0000 0.0000 0.0000 2.9733" Properties=species:S:1:pos:R:3 pbc="T T T"
As 2.4424 6.0103 0.0000
As 6.0103 4.6934 0.0000
As 4.6934 1.1255 0.0000
As 1.1255 2.4424 0.0000
Rh 1.0430 4.6110 1.4866
Rh 4.6110 6.0928 1.4866
Rh 6.0928 2.5249 1.4866
Rh 2.5249 1.0430 1.4866
V 0.0000 0.0000 0.0000
V 3.5679 3.5679 0.0000
```

Results
- E_form: -134 meV per atom

***

Record 2
Below is a relaxed Na2Sr8Au3 crystal, with properties calculated at the PBE-GGA level.

Structure (extended XYZ):
```
13
Lattice="-2.5774 -4.4397 2.0944 2.9930 -6.0362 -9.1121 5.7943 0.6540 8.5168" Properties=species:S:1:pos:R:3 pbc="T T T"
Na 2.3565 -3.4030 3.0248
Na 3.8535 -6.4188 -1.5256
Sr 0.4940 -7.9684 -1.6061
Sr 5.7160 -1.8534 3.1053
Sr -1.0599 -4.9311 2.9200
Sr 7.2699 -4.8907 -1.4209
Sr 5.2112 -5.6179 1.8427
Sr 3.6838 -2.5419 6.4836
Sr 2.5262 -7.2799 -4.9845
Sr 0.9988 -4.2039 -0.3435
Au -1.2887 -2.2198 1.0472
Au 6.5778 -0.9287 6.1259
Au 2.2096 -4.4534 -6.7212
```

Results
- E_form: -262 meV per atom

***

Record 3
Below is a relaxed Li2TaGeO6 crystal, with properties calculated at the PBE-GGA level.

Structure (extended XYZ):
```
10
Lattice="5.0948 0.0003 -0.0003 2.5476 4.4135 -0.0004 2.5469 1.4712 4.5609" Properties=species:S:1:pos:R:3 pbc="T T T"
Li 5.0945 2.9431 1.7952
Li 2.5480 1.4709 4.1260
Ta 7.6424 4.4133 2.5595
Ge 2.5474 1.4713 0.1595
O 4.0992 1.2210 1.2072
O 4.1008 4.6664 1.2066
O 7.0835 2.9418 1.2059
O 5.9990 4.1659 3.5359
O 5.7019 1.5461 3.5379
O 3.5825 3.1137 3.5365
```

Results
- E_form (uncorrected): -196.13 kJ per mole of atoms

***

Record 4
Below is a relaxed CoIr3Rh3 crystal, with properties calculated at the PBE-GGA level.

Structure (extended XYZ):
```
14
Lattice="-4.8464 1.2522 -1.7869 -2.5175 -4.0423 4.1200 -0.5921 4.1880 4.6650" Properties=species:S:1:pos:R:3 pbc="T T T"
Co -1.9902 0.0956 5.5871
Co -5.9659 1.3023 1.4111
Ir -4.3220 0.6944 4.7827
Ir -3.4594 2.9157 3.6459
Ir -4.4966 -1.5179 3.3523
Ir -1.0672 2.1570 4.5305
Ir -2.0424 -2.0112 4.2545
Ir -3.6340 0.7035 2.2154
Rh -3.8694 0.4119 7.4502
Rh -6.4205 -0.8654 5.1239
Rh -5.5245 2.9645 5.3775
Rh -1.5355 2.2633 1.8743
Rh -2.4316 -1.5666 1.6206
Rh -4.0866 0.9860 -0.4520
```

Results
- E_form: 276 meV per atom

***

Record 5
Below is a relaxed DyGaI crystal, with properties calculated at the PBE-GGA level.

Structure (extended XYZ):
```
6
Lattice="-3.9011 -0.7470 1.1463 -0.7740 -1.8616 3.6077 -2.8529 11.8111 5.4425" Properties=species:S:1:pos:R:3 pbc="T T T"
Dy -4.0649 2.9331 2.9869
Dy -3.4630 6.2695 7.2095
Ga -4.1772 5.5976 4.3412
Ga -3.3508 3.6049 5.8553
I -1.6446 1.0016 2.5107
I -5.8834 8.2010 7.6858
```

Results
- E_form (uncorrected): -82.83 kJ per mole of atoms

***

Record 6
Below is a relaxed Pr5MgIn3 crystal, with properties calculated at the PBE-GGA level.

Structure (extended XYZ):
```
18
Lattice="-1.3245 -5.3320 -4.0380 7.7679 2.1335 -5.3652 0.8434 -5.9529 7.5841" Properties=species:S:1:pos:R:3 pbc="T T T"
Pr 5.4598 -0.5620 -1.0487
Pr 2.4893 -5.9234 1.2486
Pr 3.1516 -3.2574 3.2676
Pr 4.7976 -3.2280 -3.0677
Pr 4.9614 -6.6402 -1.4940
Pr 7.0348 -3.7019 -6.0540
Pr 1.4030 -3.3408 -4.6836
Pr 2.3255 -2.5113 -0.3250
Pr 0.2522 -5.4495 4.2349
Pr 5.0405 0.1423 -4.7195
Mg 0.0000 0.0000 0.0000
Mg -0.6622 -2.6660 -2.0190
In 2.0435 -5.3460 -2.2459
In 7.3206 -5.7191 -3.4842
In 4.0350 -2.6179 -6.5015
In 5.2434 -3.8054 0.4268
In -0.0336 -3.4324 1.6651
In 2.4085 -0.5806 -2.9017
```

Results
- E_form: -360 meV per atom

***

Record 7
Below is a relaxed LaB2S crystal, with properties calculated at the PBE-GGA level.

Structure (extended XYZ):
```
8
Lattice="6.1959 0.0000 0.0000 0.0000 6.1959 0.0000 3.0979 3.0979 3.2546" Properties=species:S:1:pos:R:3 pbc="T T T"
S 3.0979 3.0979 0.0000
S 3.0979 6.1959 1.6273
B 4.0035 1.5490 0.8137
B 2.1924 4.6469 0.8137
B 4.6469 5.2903 2.4410
B 7.7448 7.1014 2.4410
La 0.0000 0.0000 0.0000
La 6.1959 3.0979 1.6273
```

Results
- E_form (uncorrected): 36.20 kJ per mole of atoms

***

For each record above, in turn, the calculated total moment values are 0.102, 0.000, 0.104, 0.250, 0.000, 0.000, 0.000 μB per atom.